# OsPdSe2Br (PBE, optimized geometry)
# - ΔE_f (raw): 17.65 kcal/mol of atoms
# - Distance to the lowest polymorph of the same formula: 0 meV per atom
data_OsPdSe2Br
_space_group_name_H-M_alt 'P 4/m m m'
_space_group_IT_number 123
_space_group_name_Hall '-P 4 2'
_cell_length_a 4.753
_cell_length_b 4.753
_cell_length_c 5.388
_cell_angle_alpha 90.00
_cell_angle_beta 90.00
_cell_angle_gamma 90.00
loop_
_atom_site_label
_atom_site_type_symbol
_atom_site_fract_x
_atom_site_fract_y
_atom_site_fract_z
Os1 Os 0.000 0.000 0.000
Pd1 Pd 0.500 0.500 0.500
Se1 Se 0.000 0.500 0.000
Br1 Br 0.000 0.000 0.500


# RbGaBr4 (PBE, optimized geometry)
# - ΔE_f (raw): -27.75 kcal/mol of atoms
data_RbGaBr4
_space_group_name_H-M_alt 'C 1 2/c 1'
_space_group_IT_number 15
_space_group_name_Hall '-C 2yc'
_cell_length_a 11.563
_cell_length_b 7.438
_cell_length_c 11.928
_cell_angle_alpha 90.00
_cell_angle_beta 97.03
_cell_angle_gamma 90.00
loop_
_atom_site_label
_atom_site_type_symbol
_atom_site_fract_x
_atom_site_fract_y
_atom_site_fract_z
Rb1 Rb 0.250 0.250 0.000
Ga1 Ga 0.000 0.128 0.250
Br1 Br 0.037 0.304 0.416
Br2 Br 0.164 0.054 0.729


# BaZr3Os (PBE, optimized geometry)
# - DFT formation energy: 2415 meV/atom
# - Distance to the lowest polymorph of the same formula: 2138 meV per atom
data_BaZr3Os
_space_group_name_H-M_alt 'P m -3 m'
_space_group_IT_number 221
_space_group_name_Hall '-P 4 2 3'
_cell_length_a 5.133
_cell_length_b 5.133
_cell_length_c 5.133
_cell_angle_alpha 90.00
_cell_angle_beta 90.00
_cell_angle_gamma 90.00
loop_
_atom_site_label
_atom_site_type_symbol
_atom_site_fract_x
_atom_site_fract_y
_atom_site_fract_z
Ba1 Ba 0.000 0.000 0.000
Zr1 Zr 0.000 0.000 0.500
Os1 Os 0.500 0.500 0.500


# Tm3GaPd (PBE, optimized geometry)
# - DFT formation energy: -493 meV/atom
data_Tm3GaPd
_space_group_name_H-M_alt 'C 1 2/c 1'
_space_group_IT_number 15
_space_group_name_Hall '-C 2yc'
_cell_length_a 11.739
_cell_length_b 10.716
_cell_length_c 7.902
_cell_angle_alpha 90.00
_cell_angle_beta 90.37
_cell_angle_gamma 90.00
loop_
_atom_site_label
_atom_site_type_symbol
_atom_site_fract_x
_atom_site_fract_y
_atom_site_fract_z
Tm1 Tm 0.096 0.102 0.417
Tm2 Tm 0.102 0.403 0.583
Tm3 Tm 0.250 0.174 0.798
Ga1 Ga 0.000 0.163 0.750
Ga2 Ga 0.000 0.343 0.250
Pd1 Pd 0.242 0.060 0.126


# PmHoMgPd (PBE, optimized geometry)
# - DFT formation energy: -371 meV/atom
data_PmHoMgPd
_space_group_name_H-M_alt 'F -4 3 m'
_space_group_IT_number 216
_space_group_name_Hall 'F -4 2 3'
_cell_length_a 7.338
_cell_length_b 7.338
_cell_length_c 7.338
_cell_angle_alpha 90.00
_cell_angle_beta 90.00
_cell_angle_gamma 90.00
loop_
_atom_site_label
_atom_site_type_symbol
_atom_site_fract_x
_atom_site_fract_y
_atom_site_fract_z
Pm1 Pm 0.000 0.000 0.000
Ho1 Ho 0.000 0.000 0.500
Mg1 Mg 0.250 0.250 0.250
Pd1 Pd 0.250 0.250 0.750


# RbTaNb2Br (PBE, optimized geometry)
# - ΔE_f (raw): 71.09 kcal/mol of atoms
data_RbTaNb2Br
_space_group_name_H-M_alt 'P 4/m m m'
_space_group_IT_number 123
_space_group_name_Hall '-P 4 2'
_cell_length_a 4.903
_cell_length_b 4.903
_cell_length_c 4.991
_cell_angle_alpha 90.00
_cell_angle_beta 90.00
_cell_angle_gamma 90.00
loop_
_atom_site_label
_atom_site_type_symbol
_atom_site_fract_x
_atom_site_fract_y
_atom_site_fract_z
Rb1 Rb 0.000 0.000 0.000
Ta1 Ta 0.000 0.000 0.500
Nb1 Nb 0.000 0.500 0.000
Br1 Br 0.500 0.500 0.500


# Sr2CeUP4 (PBE, optimized geometry)
# - DFT formation energy: -1162 meV/atom
data_Sr2CeUP4
_space_group_name_H-M_alt 'P 1 2/m 1'
_space_group_IT_number 10
_space_group_name_Hall '-P 2y'
_cell_length_a 7.242
_cell_length_b 4.171
_cell_length_c 7.327
_cell_angle_alpha 90.00
_cell_angle_beta 109.12
_cell_angle_gamma 90.00
loop_
_atom_site_label
_atom_site_type_symbol
_atom_site_fract_x
_atom_site_fract_y
_atom_site_fract_z
Sr1 Sr 0.000 0.000 0.000
Sr2 Sr 0.500 0.500 0.000
Ce1 Ce 0.000 0.500 0.500
U1 U 0.500 0.000 0.500
P1 P 0.249 0.000 0.716
P2 P 0.271 0.500 0.287


# HgPt2F11 (PBE, optimized geometry)
# - ΔE_f (raw): -28.64 kcal/mol of atoms
data_HgPt2F11
_space_group_name_H-M_alt 'I b a m'
_space_group_IT_number 72
_space_group_name_Hall '-I 2 2c'
_cell_length_a 8.999
_cell_length_b 9.041
_cell_length_c 10.390
_cell_angle_alpha 90.00
_cell_angle_beta 90.00
_cell_angle_gamma 90.00
loop_
_atom_site_label
_atom_site_type_symbol
_atom_site_fract_x
_atom_site_fract_y
_atom_site_fract_z
Hg1 Hg 0.000 0.000 0.250
Pt1 Pt 0.160 0.339 0.000
F1 F 0.000 0.500 0.000
F2 F 0.052 0.231 0.133
F3 F 0.193 0.309 0.500
F4 F 0.231 0.054 0.366


# Tl2GePt2 (PBE, optimized geometry)
# - DFT formation energy: -146 meV/atom
# - Distance to the lowest polymorph of the same formula: 0 meV per atom
data_Tl2GePt2
_space_group_name_H-M_alt 'R -3 m'
_space_group_IT_number 166
_space_group_name_Hall '-R 3 2"'
_cell_length_a 3.9325
_cell_length_b 3.9325
_cell_length_c 26.7758
_cell_angle_alpha 90.00
_cell_angle_beta 90.00
_cell_angle_gamma 120.00
loop_
_atom_site_label
_atom_site_type_symbol
_atom_site_fract_x
_atom_site_fract_y
_atom_site_fract_z
Tl1 Tl 0.0000 0.0000 0.0569
Ge1 Ge 0.0000 0.0000 0.5000
Pt1 Pt 0.0000 0.0000 0.2090


# NbInIBr2 (PBE, optimized geometry)
# - ΔE_f (raw): 12.08 kcal/mol of atoms
data_NbInIBr2
_space_group_name_H-M_alt 'P 4/m m m'
_space_group_IT_number 123
_space_group_name_Hall '-P 4 2'
_cell_length_a 5.424
_cell_length_b 5.424
_cell_length_c 6.300
_cell_angle_alpha 90.00
_cell_angle_beta 90.00
_cell_angle_gamma 90.00
loop_
_atom_site_label
_atom_site_type_symbol
_atom_site_fract_x
_atom_site_fract_y
_atom_site_fract_z
Nb1 Nb 0.000 0.000 0.000
In1 In 0.500 0.500 0.500
I1 I 0.500 0.500 0.000
Br1 Br 0.000 0.500 0.500


# CaSiF2 (PBE, optimized geometry)
# - ΔE_f (raw): -39.89 kcal/mol of atoms
# - Distance to the lowest polymorph of the same formula: 470 meV per atom
data_CaSiF2
_space_group_name_H-M_alt 'R -3 m'
_space_group_IT_number 166
_space_group_name_Hall '-R 3 2"'
_cell_length_a 4.2009
_cell_length_b 4.2009
_cell_length_c 12.6354
_cell_angle_alpha 90.00
_cell_angle_beta 90.00
_cell_angle_gamma 120.00
loop_
_atom_site_label
_atom_site_type_symbol
_atom_site_fract_x
_atom_site_fract_y
_atom_site_fract_z
Ca1 Ca 0.0000 0.0000 0.0000
Si1 Si 0.0000 0.0000 0.5000
F1 F 0.0000 0.0000 0.1810


# Ca4Ge3Au (PBE, optimized geometry)
# - DFT formation energy: -653 meV/atom
data_Ca4Ge3Au
_space_group_name_H-M_alt 'P m m 2'
_space_group_IT_number 25
_space_group_name_Hall 'P 2 -2'
_cell_length_a 4.187
_cell_length_b 4.445
_cell_length_c 11.011
_cell_angle_alpha 90.00
_cell_angle_beta 90.00
_cell_angle_gamma 90.00
loop_
_atom_site_label
_atom_site_type_symbol
_atom_site_fract_x
_atom_site_fract_y
_atom_site_fract_z
Ca1 Ca 0.000 0.000 0.000
Ca2 Ca 0.000 0.500 0.498
Ca3 Ca 0.500 0.000 0.720
Ca4 Ca 0.500 0.500 0.220
Ge1 Ge 0.000 0.500 0.786
Ge2 Ge 0.500 0.000 0.438
Ge3 Ge 0.500 0.500 0.931
Au1 Au 0.000 0.000 0.285


# K2Tc (PBE, optimized geometry)
# - DFT formation energy: 1423 meV/atom
# - Distance to the lowest polymorph of the same formula: 776 meV per atom
data_K2Tc
_space_group_name_H-M_alt 'P n n m'
_space_group_IT_number 58
_space_group_name_Hall '-P 2 2n'
_cell_length_a 8.914
_cell_length_b 8.957
_cell_length_c 2.761
_cell_angle_alpha 90.00
_cell_angle_beta 90.00
_cell_angle_gamma 90.00
loop_
_atom_site_label
_atom_site_type_symbol
_atom_site_fract_x
_atom_site_fract_y
_atom_site_fract_z
K1 K 0.204 0.198 0.000
Tc1 Tc 0.000 0.500 0.000


# Nd3HgPd2 (PBE, optimized geometry)
# - DFT formation energy: -543 meV/atom
data_Nd3HgPd2
_space_group_name_H-M_alt 'R -3 c'
_space_group_IT_number 167
_space_group_name_Hall '-R 3 2"c'
_cell_length_a 7.6941
_cell_length_b 7.6941
_cell_length_c 19.8303
_cell_angle_alpha 90.00
_cell_angle_beta 90.00
_cell_angle_gamma 120.00
loop_
_atom_site_label
_atom_site_type_symbol
_atom_site_fract_x
_atom_site_fract_y
_atom_site_fract_z
Nd1 Nd 0.0000 0.2877 0.2500
Hg1 Hg 0.0000 0.0000 0.0000
Pd1 Pd 0.0000 0.0000 0.1465


# Mg6TiSnO8 (PBE, optimized geometry)
# - ΔE_f (raw): -51.04 kcal/mol of atoms
# - Distance to the lowest polymorph of the same formula: 0 meV per atom
data_Mg6TiSnO8
_space_group_name_H-M_alt 'P 4/m m m'
_space_group_IT_number 123
_space_group_name_Hall '-P 4 2'
_cell_length_a 4.446
_cell_length_b 4.446
_cell_length_c 8.891
_cell_angle_alpha 90.00
_cell_angle_beta 90.00
_cell_angle_gamma 90.00
loop_
_atom_site_label
_atom_site_type_symbol
_atom_site_fract_x
_atom_site_fract_y
_atom_site_fract_z
Mg1 Mg 0.000 0.000 0.000
Mg2 Mg 0.000 0.500 0.237
Mg3 Mg 0.500 0.500 0.000
Ti1 Ti 0.000 0.000 0.500
Sn1 Sn 0.500 0.500 0.500
O1 O 0.000 0.000 0.242
O2 O 0.000 0.500 0.000
O3 O 0.000 0.500 0.500
O4 O 0.500 0.500 0.226


# CeDy2Er8 (PBE, optimized geometry)
# - DFT formation energy: 39 meV/atom
# - Distance to the lowest polymorph of the same formula: 0 meV per atom
data_CeDy2Er8
_space_group_name_H-M_alt 'C 1 2/m 1'
_space_group_IT_number 12
_space_group_name_Hall '-C 2y'
_cell_length_a 17.938
_cell_length_b 4.971
_cell_length_c 7.859
_cell_angle_alpha 90.00
_cell_angle_beta 105.22
_cell_angle_gamma 90.00
loop_
_atom_site_label
_atom_site_type_symbol
_atom_site_fract_x
_atom_site_fract_y
_atom_site_fract_z
Ce1 Ce 0.000 0.000 0.000
Dy1 Dy 0.228 0.500 0.637
Er1 Er 0.045 0.500 0.730
Er2 Er 0.090 0.000 0.454
Er3 Er 0.136 0.500 0.180
Er4 Er 0.180 0.000 0.907


# K2BeSi (PBE, optimized geometry)
# - ΔE_f (raw): 3.81 kcal/mol of atoms
# - Distance to the lowest polymorph of the same formula: 0 meV per atom
data_K2BeSi
_space_group_name_H-M_alt 'A m m 2'
_space_group_IT_number 38
_space_group_name_Hall 'A 2 -2'
_cell_length_a 4.171
_cell_length_b 5.859
_cell_length_c 10.206
_cell_angle_alpha 90.00
_cell_angle_beta 90.00
_cell_angle_gamma 90.00
loop_
_atom_site_label
_atom_site_type_symbol
_atom_site_fract_x
_atom_site_fract_y
_atom_site_fract_z
K1 K 0.000 0.000 0.000
K2 K 0.500 0.000 0.332
Be1 Be 0.500 0.000 0.665
Si1 Si 0.000 0.000 0.667


# LuSc2Ru (PBE, optimized geometry)
# - DFT formation energy: -308 meV/atom
data_LuSc2Ru
_space_group_name_H-M_alt 'P 4/m m m'
_space_group_IT_number 123
_space_group_name_Hall '-P 4 2'
_cell_length_a 3.263
_cell_length_b 3.263
_cell_length_c 8.251
_cell_angle_alpha 90.00
_cell_angle_beta 90.00
_cell_angle_gamma 90.00
loop_
_atom_site_label
_atom_site_type_symbol
_atom_site_fract_x
_atom_site_fract_y
_atom_site_fract_z
Lu1 Lu 0.000 0.000 0.000
Sc1 Sc 0.500 0.500 0.315
Ru1 Ru 0.000 0.000 0.500


# LiNdScPd (PBE, optimized geometry)
# - DFT formation energy: -334 meV/atom
data_LiNdScPd
_space_group_name_H-M_alt 'F -4 3 m'
_space_group_IT_number 216
_space_group_name_Hall 'F -4 2 3'
_cell_length_a 7.039
_cell_length_b 7.039
_cell_length_c 7.039
_cell_angle_alpha 90.00
_cell_angle_beta 90.00
_cell_angle_gamma 90.00
loop_
_atom_site_label
_atom_site_type_symbol
_atom_site_fract_x
_atom_site_fract_y
_atom_site_fract_z
Li1 Li 0.000 0.000 0.000
Nd1 Nd 0.250 0.250 0.250
Sc1 Sc 0.250 0.250 0.750
Pd1 Pd 0.000 0.000 0.500


# Pm2BiO2 (PBE, optimized geometry)
# - ΔE_f (raw): -59.96 kcal/mol of atoms
data_Pm2BiO2
_space_group_name_H-M_alt 'I 4/m m m'
_space_group_IT_number 139
_space_group_name_Hall '-I 4 2'
_cell_length_a 3.997
_cell_length_b 3.997
_cell_length_c 13.955
_cell_angle_alpha 90.00
_cell_angle_beta 90.00
_cell_angle_gamma 90.00
loop_
_atom_site_label
_atom_site_type_symbol
_atom_site_fract_x
_atom_site_fract_y
_atom_site_fract_z
Pm1 Pm 0.000 0.000 0.166
Bi1 Bi 0.000 0.000 0.500
O1 O 0.000 0.500 0.250